Here is an optimized crystal structure of AlCr2Sb from the Alexandria database. Energies are from PBE.

a b c (Å): 9.4231 9.4231 9.4231
angles (deg): 156.22 156.22 33.88
Element x y z (fractional)
Al1 0.0000 0.0000 0.0000
Al2 0.7500 0.2500 0.5000
Cr1 0.0434 0.6250 0.9184
Cr2 0.3750 0.2934 0.4184
Cr3 0.7066 0.1250 0.0816
Cr4 0.8750 0.9566 0.5816
Sb1 0.2500 0.7500 0.5000
Sb2 0.5000 0.5000 0.0000

Output
Uncorrected energy, eV for the cell shown: -49.73
Total moment, μB/cell: 0.001
Energy above the most stable polymorph in this dataset, meV/atom: 418